DFT (GGA-PBE) results for CsSmTl2 after structural relaxation.

Unit cell a=4.001 b=4.001 c=9.253 alpha=90.00 beta=90.00 gamma=90.00
Fractional coordinates of all 4 atoms:
Cs 0.500 0.500 0.500
Tl 0.000 0.000 0.189
Tl 0.000 0.000 0.811
Sm 0.500 0.500 0.000

Output
ΔE_f, eV per atom: -0.1866
Total energy, eV/atom: -2.7629
Total magnetization, μB per formula unit: 0.00
Crystal system: tetragonal